(1)
An optimized crystal structure of Fe2BiOsCl. Source: Alexandria, functional GGA-PBE.

CIF file:
```
data_Fe2BiOsCl
_chemical_formula_sum 'Fe2 Bi1 Os1 Cl1'
_space_group_name_H-M_alt 'P 4/m m m'
_space_group_IT_number 123
_space_group_name_Hall '-P 4 2'
_cell_length_a 4.089
_cell_length_b 4.089
_cell_length_c 5.606
_cell_angle_alpha 90.00
_cell_angle_beta 90.00
_cell_angle_gamma 90.00
loop_
_atom_site_label
_atom_site_fract_x
_atom_site_fract_y
_atom_site_fract_z
_atom_site_occupancy
Fe1 0.000 0.500 0.000 1
Bi1 0.000 0.000 0.500 1
Os1 0.500 0.500 0.500 1
Cl1 0.000 0.000 0.000 1
```

Results
The value obtained for the formation energy (no corrections) is 1383 meV per atom.

---

(2)
An optimized crystal structure of FeBiP2Cl. Source: Alexandria, functional GGA-PBE.

CIF file:
```
data_FeBiP2Cl
_chemical_formula_sum 'Fe1 Bi1 P2 Cl1'
_space_group_name_H-M_alt 'P 4/m m m'
_space_group_IT_number 123
_space_group_name_Hall '-P 4 2'
_cell_length_a 5.287
_cell_length_b 5.287
_cell_length_c 5.241
_cell_angle_alpha 90.00
_cell_angle_beta 90.00
_cell_angle_gamma 90.00
loop_
_atom_site_label
_atom_site_fract_x
_atom_site_fract_y
_atom_site_fract_z
_atom_site_occupancy
Fe1 0.000 0.000 0.000 1
Bi1 0.500 0.500 0.500 1
P1 0.000 0.500 0.500 1
Cl1 0.500 0.500 0.000 1
```

Results
The value obtained for the formation energy (no corrections) is 1270 meV per atom. Its relative energy among the computed polymorphs is 476 kJ/mol of formula units.

---

(3)
An optimized crystal structure of FeBiP2Cl. Source: Alexandria, functional GGA-PBE.

CIF file:
```
data_FeBiP2Cl
_chemical_formula_sum 'Fe1 Bi1 P2 Cl1'
_space_group_name_H-M_alt 'P 4/m m m'
_space_group_IT_number 123
_space_group_name_Hall '-P 4 2'
_cell_length_a 4.452
_cell_length_b 4.452
_cell_length_c 4.894
_cell_angle_alpha 90.00
_cell_angle_beta 90.00
_cell_angle_gamma 90.00
loop_
_atom_site_label
_atom_site_fract_x
_atom_site_fract_y
_atom_site_fract_z
_atom_site_occupancy
Fe1 0.000 0.000 0.000 1
Bi1 0.500 0.500 0.500 1
P1 0.000 0.500 0.000 1
Cl1 0.000 0.000 0.500 1
```

Results
The value obtained for the formation energy (no corrections) is 283 meV per atom. Its relative energy among the computed polymorphs is 0 kJ/mol of formula units.

---

(4)
An optimized crystal structure of FeBiS2Cl. Source: Alexandria, functional GGA-PBE.

CIF file:
```
data_FeBiS2Cl
_chemical_formula_sum 'Fe1 Bi1 S2 Cl1'
_space_group_name_H-M_alt 'P 4/m m m'
_space_group_IT_number 123
_space_group_name_Hall '-P 4 2'
_cell_length_a 4.555
_cell_length_b 4.555
_cell_length_c 4.538
_cell_angle_alpha 90.00
_cell_angle_beta 90.00
_cell_angle_gamma 90.00
loop_
_atom_site_label
_atom_site_fract_x
_atom_site_fract_y
_atom_site_fract_z
_atom_site_occupancy
Fe1 0.000 0.000 0.000 1
Bi1 0.500 0.500 0.500 1
S1 0.000 0.500 0.000 1
Cl1 0.000 0.000 0.500 1
```

Results
The value obtained for the formation energy (no corrections) is 26 meV per atom. Its relative energy among the computed polymorphs is 0 kJ/mol of formula units.

---

(5)
An optimized crystal structure of FeBiS2Cl. Source: Alexandria, functional GGA-PBE.

CIF file:
```
data_FeBiS2Cl
_chemical_formula_sum 'Fe1 Bi1 S2 Cl1'
_space_group_name_H-M_alt 'P 4/m m m'
_space_group_IT_number 123
_space_group_name_Hall '-P 4 2'
_cell_length_a 5.276
_cell_length_b 5.276
_cell_length_c 5.233
_cell_angle_alpha 90.00
_cell_angle_beta 90.00
_cell_angle_gamma 90.00
loop_
_atom_site_label
_atom_site_fract_x
_atom_site_fract_y
_atom_site_fract_z
_atom_site_occupancy
Fe1 0.000 0.000 0.000 1
Bi1 0.500 0.500 0.500 1
S1 0.000 0.500 0.500 1
Cl1 0.500 0.500 0.000 1
```

Results
The value obtained for the formation energy (no corrections) is 655 meV per atom. Its relative energy among the computed polymorphs is 303 kJ/mol of formula units.

---

(6)
An optimized crystal structure of FeBi2SCl. Source: Alexandria, functional GGA-PBE.

CIF file:
```
data_FeBi2SCl
_chemical_formula_sum 'Fe1 Bi2 S1 Cl1'
_space_group_name_H-M_alt 'P 4/m m m'
_space_group_IT_number 123
_space_group_name_Hall '-P 4 2'
_cell_length_a 5.103
_cell_length_b 5.103
_cell_length_c 4.461
_cell_angle_alpha 90.00
_cell_angle_beta 90.00
_cell_angle_gamma 90.00
loop_
_atom_site_label
_atom_site_fract_x
_atom_site_fract_y
_atom_site_fract_z
_atom_site_occupancy
Fe1 0.000 0.000 0.000 1
Bi1 0.000 0.500 0.000 1
S1 0.500 0.500 0.500 1
Cl1 0.000 0.000 0.500 1
```

Results
The value obtained for the formation energy (no corrections) is 234 meV per atom.

---

(7)
An optimized crystal structure of FeBi2SbCl. Source: Alexandria, functional GGA-PBE.

CIF file:
```
data_FeBi2SbCl
_chemical_formula_sum 'Fe1 Bi2 Sb1 Cl1'
_space_group_name_H-M_alt 'P 4/m m m'
_space_group_IT_number 123
_space_group_name_Hall '-P 4 2'
_cell_length_a 5.413
_cell_length_b 5.413
_cell_length_c 4.369
_cell_angle_alpha 90.00
_cell_angle_beta 90.00
_cell_angle_gamma 90.00
loop_
_atom_site_label
_atom_site_fract_x
_atom_site_fract_y
_atom_site_fract_z
_atom_site_occupancy
Fe1 0.000 0.000 0.000 1
Bi1 0.000 0.500 0.000 1
Sb1 0.500 0.500 0.500 1
Cl1 0.000 0.000 0.500 1
```

Results
The value obtained for the formation energy (no corrections) is 161 meV per atom.

---

(8)
An optimized crystal structure of Fe2TcBiCl. Source: Alexandria, functional GGA-PBE.

CIF file:
```
data_Fe2TcBiCl
_chemical_formula_sum 'Fe2 Tc1 Bi1 Cl1'
_space_group_name_H-M_alt 'P 4/m m m'
_space_group_IT_number 123
_space_group_name_Hall '-P 4 2'
_cell_length_a 4.549
_cell_length_b 4.549
_cell_length_c 4.602
_cell_angle_alpha 90.00
_cell_angle_beta 90.00
_cell_angle_gamma 90.00
loop_
_atom_site_label
_atom_site_fract_x
_atom_site_fract_y
_atom_site_fract_z
_atom_site_occupancy
Fe1 0.000 0.500 0.000 1
Tc1 0.000 0.000 0.000 1
Bi1 0.500 0.500 0.500 1
Cl1 0.000 0.000 0.500 1
```

Results
The value obtained for the formation energy (no corrections) is 1139 meV per atom.

---

(9)
An optimized crystal structure of YFeBi2Cl. Source: Alexandria, functional GGA-PBE.

CIF file:
```
data_YFeBi2Cl
_chemical_formula_sum 'Y1 Fe1 Bi2 Cl1'
_space_group_name_H-M_alt 'P 4/m m m'
_space_group_IT_number 123
_space_group_name_Hall '-P 4 2'
_cell_length_a 6.010
_cell_length_b 6.010
_cell_length_c 5.056
_cell_angle_alpha 90.00
_cell_angle_beta 90.00
_cell_angle_gamma 90.00
loop_
_atom_site_label
_atom_site_fract_x
_atom_site_fract_y
_atom_site_fract_z
_atom_site_occupancy
Y1 0.000 0.000 0.000 1
Fe1 0.500 0.500 0.500 1
Bi1 0.000 0.500 0.000 1
Cl1 0.000 0.000 0.500 1
```

Results
The value obtained for the formation energy (no corrections) is 365 meV per atom.

---

(10)
An optimized crystal structure of GaBiCl2. Source: Alexandria, functional GGA-PBE.

CIF file:
```
data_GaBiCl2
_chemical_formula_sum 'Ga4 Bi4 Cl8'
_space_group_name_H-M_alt 'I -4 2 d'
_space_group_IT_number 122
_space_group_name_Hall 'I -4 2bw'
_cell_length_a 8.190
_cell_length_b 8.190
_cell_length_c 6.619
_cell_angle_alpha 90.00
_cell_angle_beta 90.00
_cell_angle_gamma 90.00
loop_
_atom_site_label
_atom_site_fract_x
_atom_site_fract_y
_atom_site_fract_z
_atom_site_occupancy
Ga1 0.000 0.000 0.000 1
Bi1 0.000 0.000 0.500 1
Cl1 0.229 0.750 0.625 1
```

Results
The value obtained for the formation energy (no corrections) is -334 meV per atom. Its relative energy among the computed polymorphs is 5 kJ/mol of formula units.

---

(11)
An optimized crystal structure of GaBiCl2. Source: Alexandria, functional GGA-PBE.

CIF file:
```
data_GaBiCl2
_chemical_formula_sum 'Ga4 Bi4 Cl8'
_space_group_name_H-M_alt 'F m -3 m'
_space_group_IT_number 225
_space_group_name_Hall '-F 4 2 3'
_cell_length_a 7.358
_cell_length_b 7.358
_cell_length_c 7.358
_cell_angle_alpha 90.00
_cell_angle_beta 90.00
_cell_angle_gamma 90.00
loop_
_atom_site_label
_atom_site_fract_x
_atom_site_fract_y
_atom_site_fract_z
_atom_site_occupancy
Ga1 0.000 0.000 0.000 1
Bi1 0.000 0.000 0.500 1
Cl1 0.250 0.250 0.250 1
```

Results
The value obtained for the formation energy (no corrections) is -172 meV per atom. Its relative energy among the computed polymorphs is 68 kJ/mol of formula units.

---

(12)
An optimized crystal structure of Ga2Bi2Cl. Source: Alexandria, functional GGA-PBE.

CIF file:
```
data_Ga2Bi2Cl
_chemical_formula_sum 'Ga4 Bi4 Cl2'
_space_group_name_H-M_alt 'I 4/m m m'
_space_group_IT_number 139
_space_group_name_Hall '-I 4 2'
_cell_length_a 4.101
_cell_length_b 4.101
_cell_length_c 15.976
_cell_angle_alpha 90.00
_cell_angle_beta 90.00
_cell_angle_gamma 90.00
loop_
_atom_site_label
_atom_site_fract_x
_atom_site_fract_y
_atom_site_fract_z
_atom_site_occupancy
Ga1 0.000 0.500 0.250 1
Bi1 0.000 0.000 0.121 1
Cl1 0.000 0.000 0.500 1
```

Results
The value obtained for the formation energy (no corrections) is -194 meV per atom. Its relative energy among the computed polymorphs is 0 kJ/mol of formula units.